Density functional theory data (PBE) for crystalline SmScCoHg at its relaxed geometry.

```
data_SmScCoHg
_chemical_formula_sum 'Sm4 Sc4 Co4 Hg4'
_cell_length_a 7.004
_cell_length_b 7.004
_cell_length_c 7.004
_cell_angle_alpha 90.00
_cell_angle_beta 90.00
_cell_angle_gamma 90.00
_space_group_name_H-M_alt 'F -4 3 m'
_space_group_IT_number 216
_space_group_name_Hall 'F -4 2 3'
loop_
_atom_site_label
_atom_site_type_symbol
_atom_site_fract_x
_atom_site_fract_y
_atom_site_fract_z
Sm1 Sm 0.000 0.000 0.000
Sc1 Sc 0.000 0.000 0.500
Co1 Co 0.250 0.250 0.750
Hg1 Hg 0.250 0.250 0.250
```

Summary:
VASP energy ... -4.7907 eV per atom
D(E_F) ... 9.360 states/eV/cell
Energy of formation ... -0.7 eV per formula unit